# 1
Computed, not measured: an optimized crystal structure of LiPrHoBe at the PBE level of DFT.

Unit cell a=5.0795 b=5.0795 c=5.0795 alpha=60.00 beta=60.00 gamma=60.00
Fractional coordinates of all 4 atoms:
Li 0.0000 0.0000 0.0000
Pr 0.2500 0.2500 0.2500
Ho 0.7500 0.7500 0.7500
Be 0.5000 0.5000 0.5000

Output
DFT formation energy, eV/atom: 0.1608
SG: F-43m (216)
Total magnetization, μB/f.u.: 0.0

---

# 2
Computed, not measured: an optimized crystal structure of LiHo2Be4Pt3 at the PBE level of DFT.

Unit cell a=4.0331 b=4.0331 c=9.3349 alpha=90.00 beta=90.00 gamma=90.00
Fractional coordinates of all 10 atoms:
Li 0.0000 0.0000 0.0000
Ho 0.0000 0.5000 0.7466
Ho 0.5000 0.0000 0.2534
Be 0.0000 0.0000 0.5000
Be 0.0000 0.5000 0.1238
Be 0.5000 0.0000 0.8762
Be 0.5000 0.5000 0.5000
Pt 0.0000 0.5000 0.3700
Pt 0.5000 0.0000 0.6300
Pt 0.5000 0.5000 0.0000

Output
DFT formation energy, eV/atom: -0.6965
SG: P-4m2 (115)
Total magnetization, μB/f.u.: 0.0

---

# 3
Computed, not measured: an optimized crystal structure of LiHo2BePt6 at the PBE level of DFT.

Unit cell a=7.4630 b=7.4630 c=7.4630 alpha=43.71 beta=43.71 gamma=43.71
Fractional coordinates of all 10 atoms:
Li 0.0000 0.0000 0.0000
Ho 0.2944 0.2944 0.2944
Ho 0.7056 0.7056 0.7056
Be 0.5000 0.5000 0.5000
Pt 0.2351 0.7443 0.7443
Pt 0.2557 0.2557 0.7649
Pt 0.2557 0.7649 0.2557
Pt 0.7443 0.2351 0.7443
Pt 0.7443 0.7443 0.2351
Pt 0.7649 0.2557 0.2557

Output
DFT formation energy, eV/atom: -0.8321
SG: R-3m (166)
Total magnetization, μB/f.u.: 0.0

---

# 4
Computed, not measured: an optimized crystal structure of LiHo2Be3Pt4 at the PBE level of DFT.

Unit cell a=3.9835 b=3.9835 c=9.8505 alpha=90.00 beta=90.00 gamma=90.00
Fractional coordinates of all 10 atoms:
Li 0.0000 0.0000 0.0000
Ho 0.0000 0.5000 0.7461
Ho 0.5000 0.0000 0.2539
Be 0.0000 0.5000 0.3775
Be 0.5000 0.0000 0.6225
Be 0.5000 0.5000 0.0000
Pt 0.0000 0.0000 0.5000
Pt 0.0000 0.5000 0.1434
Pt 0.5000 0.0000 0.8566
Pt 0.5000 0.5000 0.5000

Output
DFT formation energy, eV/atom: -0.8920
SG: P-4m2 (115)
Total magnetization, μB/f.u.: 0.0

---

# 5
Computed, not measured: an optimized crystal structure of LiHoScBe at the PBE level of DFT.

Unit cell a=4.8168 b=4.8168 c=4.8168 alpha=60.00 beta=60.00 gamma=60.00
Fractional coordinates of all 4 atoms:
Li 0.0000 0.0000 0.0000
Ho 0.7500 0.7500 0.7500
Sc 0.2500 0.2500 0.2500
Be 0.5000 0.5000 0.5000

Output
DFT formation energy, eV/atom: 0.1225
SG: F-43m (216)
Total magnetization, μB/f.u.: 0.0

---

# 6
Computed, not measured: an optimized crystal structure of LiSmHoBe at the PBE level of DFT.

Unit cell a=5.0235 b=5.0235 c=5.0235 alpha=60.00 beta=60.00 gamma=60.00
Fractional coordinates of all 4 atoms:
Li 0.0000 0.0000 0.0000
Sm 0.7500 0.7500 0.7500
Ho 0.2500 0.2500 0.2500
Be 0.5000 0.5000 0.5000

Output
DFT formation energy, eV/atom: 0.1465
SG: F-43m (216)
Total magnetization, μB/f.u.: 0.0

---

# 7
Computed, not measured: an optimized crystal structure of LiHoTmBe at the PBE level of DFT.

Unit cell a=4.9365 b=4.9365 c=4.9365 alpha=60.00 beta=60.00 gamma=60.00
Fractional coordinates of all 4 atoms:
Li 0.0000 0.0000 0.0000
Ho 0.7500 0.7500 0.7500
Tm 0.2500 0.2500 0.2500
Be 0.5000 0.5000 0.5000

Output
DFT formation energy, eV/atom: 0.1292
SG: F-43m (216)
Total magnetization, μB/f.u.: 0.0

---

# 8
Computed, not measured: an optimized crystal structure of LiYHoBe at the PBE level of DFT.

Unit cell a=4.9805 b=4.9805 c=4.9805 alpha=60.00 beta=60.00 gamma=60.00
Fractional coordinates of all 4 atoms:
Li 0.0000 0.0000 0.0000
Y 0.7500 0.7500 0.7500
Ho 0.2500 0.2500 0.2500
Be 0.5000 0.5000 0.5000

Output
DFT formation energy, eV/atom: 0.1242
SG: F-43m (216)
Total magnetization, μB/f.u.: 0.0